Here is crystalline PmCdNiAs at its relaxed geometry from Alexandria via LeMat-Bulk. Energies are from PBE.

Unit cell a=4.867 b=4.867 c=4.867 alpha=60.00 beta=60.00 gamma=60.00
Sites, in units of the cell vectors:
Pm 0.000 0.000 0.000
Cd 0.500 0.500 0.500
Ni 0.750 0.750 0.750
As 0.250 0.250 0.250

Calculated values
- calculated formation energy (eV per formula unit) = -1.137
- volume (Å³ per cell) = 81.5
- symmetry = F-43m (216)